A relaxed structure of SmSb3Ru3, computed with PBE-GGA.

Values from the calculation:
Total magnetization in Bohr magnetons per cell: 0.00
Total DFT energy (no corrections) in eV per cell: -85.99
SG: Pm-3n, No. 223

Structure (POSCAR):
```
SmSb3Ru3
1.0
7.139 0.000 0.000
0.000 7.139 0.000
0.000 0.000 7.139
Sm Sb Ru
2 6 6
direct
0.000 0.000 0.000
0.500 0.500 0.500
0.000 0.250 0.500
0.000 0.750 0.500
0.250 0.500 0.000
0.500 0.000 0.250
0.500 0.000 0.750
0.750 0.500 0.000
0.000 0.500 0.250
0.000 0.500 0.750
0.250 0.000 0.500
0.500 0.250 0.000
0.500 0.750 0.000
0.750 0.000 0.500
```